(1)
Entry from Alexandria via LeMat-Bulk: a geometry-optimized Nd2DyYSc structure (PBE).

Lattice parameters (Å, degrees): 6.2359 7.8579 6.5764 90.00 90.00 90.00
Fractional positions:
Nd1 0.2500 0.2024 0.2106
Nd2 0.2500 0.7976 0.2106
Nd3 0.7500 0.2024 0.7894
Nd4 0.7500 0.7976 0.7894
Dy1 0.2500 0.0000 0.6819
Dy2 0.7500 0.0000 0.3181
Y1 0.2500 0.5000 0.5902
Y2 0.7500 0.5000 0.4098
Sc1 0.0000 0.5000 0.0000
Sc2 0.5000 0.5000 0.0000

Output
Space-group type   No. 51
DFT total energy   -0.3807 Ry per atom

---

(2)
Entry from Alexandria via LeMat-Bulk: a geometry-optimized Nd5DyY2Sc structure (PBE).

Lattice parameters (Å, degrees): 11.3235 11.3235 10.2383 90.00 90.00 152.46
Fractional positions:
Nd1 0.9999 0.0001 0.0000
Nd2 0.0001 0.9999 0.5000
Nd3 0.1260 0.8740 0.7498
Nd4 0.2210 0.7790 0.0619
Nd5 0.2216 0.7784 0.4364
Nd6 0.4992 0.5008 0.2499
Nd7 0.5008 0.4992 0.7499
Nd8 0.7784 0.2216 0.9364
Nd9 0.7790 0.2210 0.5619
Nd10 0.8740 0.1260 0.2498
Dy1 0.1014 0.8986 0.2499
Dy2 0.8986 0.1014 0.7499
Y1 0.3843 0.6157 0.5017
Y2 0.3839 0.6161 0.9980
Y3 0.6157 0.3843 0.0017
Y4 0.6161 0.3839 0.4980
Sc1 0.2855 0.7145 0.7492
Sc2 0.7145 0.2855 0.2492

Output
Space-group type   No. 36
DFT total energy   -0.3806 Ry per atom

---

(3)
Entry from Alexandria via LeMat-Bulk: a geometry-optimized Nd2DyY4Sc structure (PBE).

Lattice parameters (Å, degrees): 5.0418 5.0418 10.0244 90.00 90.00 90.00
Fractional positions:
Nd1 0.0000 0.0000 0.0000
Nd2 0.5000 0.5000 0.5000
Dy1 0.0000 0.0000 0.5000
Y1 0.0000 0.5000 0.2453
Y2 0.0000 0.5000 0.7547
Y3 0.5000 0.0000 0.2453
Y4 0.5000 0.0000 0.7547
Sc1 0.5000 0.5000 0.0000

Output
Space-group type   No. 123
DFT total energy   -0.4229 Ry per atom

---

(4)
Entry from Alexandria via LeMat-Bulk: a geometry-optimized NdDyScZn structure (PBE).

Lattice parameters (Å, degrees): 3.4944 3.4944 8.5482 90.00 90.00 90.00
Fractional positions:
Nd1 0.0000 0.0000 0.0000
Dy1 0.5000 0.5000 0.6867
Sc1 0.5000 0.5000 0.2881
Zn1 0.0000 0.0000 0.4630

Output
Space-group type   No. 99
ΔE to the lowest computed polymorph   0.000 eV per atom

---

(5)
Entry from Alexandria via LeMat-Bulk: a geometry-optimized NdDyScZn structure (PBE).

Lattice parameters (Å, degrees): 5.2775 5.2775 5.2775 60.00 60.00 60.00
Fractional positions:
Nd1 0.0000 0.0000 0.0000
Dy1 0.5000 0.5000 0.5000
Sc1 0.2500 0.2500 0.2500
Zn1 0.7500 0.7500 0.7500

Output
Space-group type   No. 216
ΔE to the lowest computed polymorph   0.143 eV per atom

---

(6)
Entry from Alexandria via LeMat-Bulk: a geometry-optimized NdDyZrSc structure (PBE).

Lattice parameters (Å, degrees): 5.4020 5.4020 5.4020 60.00 60.00 60.00
Fractional positions:
Nd1 0.0000 0.0000 0.0000
Dy1 0.7500 0.7500 0.7500
Zr1 0.5000 0.5000 0.5000
Sc1 0.2500 0.2500 0.2500

Output
Space-group type   No. 216
DFT total energy   -0.4307 Ry per atom

---

no.,mass density (g cm⁻³)
1,6.027
2,6.053
3,5.549
4,6.635
5,6.664
6,6.598